! AcLaCeLu (GGA-PBE, relaxed); values from VASP
&SYSTEM
  ibrav = 0, nat = 4, ntyp = 4
/
ATOMIC_SPECIES
La 138.91 La.upf
Lu 174.97 Lu.upf
Ce 140.12 Ce.upf
Ac 227.00 Ac.upf
CELL_PARAMETERS angstrom
-5.374 1.384 1.951
-4.616 -3.330 -1.485
-2.618 -3.371 4.048
ATOMIC_POSITIONS crystal
La 0.250 0.250 0.250
Lu 0.500 0.500 0.500
Ce 0.000 0.000 0.000
Ac 0.750 0.750 0.750
! - Space group: F-43m, No. 216
! - D(E_F): 12.79 states/eV/cell
! - Uncorrected energy: -4.660 eV/atom